Entry 1:
## RbMn2S2 (GGA-PBEsol)

Data for a geometry-optimized RbMn2S2 structure.

It has space group I4/mmm (No. 139), with a = 4.691 Å, b = 4.691 Å, c = 9.713 Å, α = 90.00°, β = 90.00° and γ = 90.00°. The inequivalent atoms are Rb at (0.000, 0.000, 0.000), Mn at (0.000, 0.000, 0.331) and S at (0.000, 0.500, 0.250).

As for the crystal system: tetragonal. The electronic total energy is -6.1044 eV per atom. The energy relative to the elements, uncorrected comes out at -241 meV/atom.

Entry 2:
## Lu2Pt2O7 (GGA-PBEsol)

Data for a geometry-optimized Lu2Pt2O7 structure.

It has space group Fd-3m (No. 227, origin choice 2), with a = 10.003 Å, b = 10.003 Å, c = 10.003 Å, α = 90.00°, β = 90.00° and γ = 90.00°. The inequivalent atoms are Lu at (0.000, 0.000, 0.000), Pt at (0.000, 0.000, 0.500), O at (0.095, 0.375, 0.875) and O at (0.125, 0.125, 0.125).

As for the crystal system: cubic. The electronic total energy is -7.6178 eV per atom. The energy relative to the elements, uncorrected comes out at -2125 meV/atom.

Entry 3:
## Ba2SbPb (GGA-PBEsol)

Data for a geometry-optimized Ba2SbPb structure.

It has space group Cmmm (No. 65), with a = 7.730 Å, b = 9.687 Å, c = 3.810 Å, α = 90.00°, β = 90.00° and γ = 90.00°. The inequivalent atoms are Ba at (0.250, 0.250, 0.000), Sb at (0.000, 0.000, 0.500) and Pb at (0.000, 0.500, 0.500).

As for the crystal system: orthorhombic. The electronic total energy is -3.9218 eV per atom. The energy relative to the elements, uncorrected comes out at -708 meV/atom. Its energy above the lowest structure with this stoichiometry is 0.032 eV per atom.

Entry 4:
## LaBe2TlI (GGA-PBEsol)

Data for a geometry-optimized LaBe2TlI structure.

It has space group P4/mmm (No. 123), with a = 5.386 Å, b = 5.386 Å, c = 6.064 Å, α = 90.00°, β = 90.00° and γ = 90.00°. The inequivalent atoms are La at (0.000, 0.000, 0.000), Be at (0.000, 0.500, 0.000), Tl at (0.500, 0.500, 0.500) and I at (0.000, 0.000, 0.500).

As for the crystal system: tetragonal. The electronic total energy is -2.5722 eV per atom. The energy relative to the elements, uncorrected comes out at 977 meV/atom.

Entry 5:
## Ta2Ru (GGA-PBEsol)

Data for a geometry-optimized Ta2Ru structure.

It has space group Fd-3m (No. 227, origin choice 2), with a = 7.399 Å, b = 7.399 Å, c = 7.399 Å, α = 90.00°, β = 90.00° and γ = 90.00°. The inequivalent atoms are Ta at (0.000, 0.000, 0.000) and Ru at (0.125, 0.125, 0.625).

As for the crystal system: cubic. The electronic total energy is -11.2716 eV per atom. Its formation energy is 0.487 eV per atom.

Entry 6:
## Al8Fe5 (GGA-PBEsol)

Data for a geometry-optimized Al8Fe5 structure.

It has space group I-43m (No. 217), with a = 8.722 Å, b = 8.722 Å, c = 8.722 Å, α = 90.00°, β = 90.00° and γ = 90.00°. The inequivalent atoms are Al at (0.039, 0.311, 0.311), Al at (0.106, 0.106, 0.106), Fe at (0.000, 0.000, 0.360) and Fe at (0.168, 0.168, 0.832).

As for the crystal system: cubic. The electronic total energy is -6.2416 eV per atom. Its formation energy is -0.276 eV per atom.

Entry 7:
## TlSiN3 (GGA-PBEsol)

Data for a geometry-optimized TlSiN3 structure.

It has space group Pm-3m (No. 221), with a = 3.710 Å, b = 3.710 Å, c = 3.710 Å, α = 90.00°, β = 90.00° and γ = 90.00°. The inequivalent atoms are Tl at (0.000, 0.000, 0.000), Si at (0.500, 0.500, 0.500) and N at (0.000, 0.500, 0.500).

As for the crystal system: cubic. The electronic total energy is -6.0846 eV per atom. The energy relative to the elements, uncorrected comes out at 707 meV/atom.

Entry 8:
## BeAuF2 (GGA-PBEsol)

Data for a geometry-optimized BeAuF2 structure.

It has space group C2/m (No. 12), with a = 4.585 Å, b = 2.648 Å, c = 8.848 Å, α = 90.00°, β = 99.85° and γ = 90.00°. The inequivalent atoms are Be at (0.000, 0.000, 0.000), Au at (0.000, 0.500, 0.500) and F at (0.133, 0.500, 0.898).

As for the crystal system: monoclinic. The electronic total energy is -5.0571 eV per atom. The energy relative to the elements, uncorrected comes out at -2112 meV/atom.

Entry 9:
## InAg3 (GGA-PBEsol)

Data for a geometry-optimized InAg3 structure.

It has space group Pm-3m (No. 221), with a = 5.204 Å, b = 5.204 Å, c = 5.204 Å, α = 90.00°, β = 90.00° and γ = 90.00°. The inequivalent atoms are In at (0.000, 0.000, 0.000) and Ag at (0.000, 0.000, 0.500).

As for the crystal system: cubic. The electronic total energy is -2.2971 eV per atom. Its formation energy is 0.932 eV per atom.

Entry 10:
## YBr2 (GGA-PBEsol)

Data for a geometry-optimized YBr2 structure.

It has space group Cm (No. 8), with a = 13.690 Å, b = 3.763 Å, c = 7.647 Å, α = 90.00°, β = 123.12° and γ = 90.00°. The inequivalent atoms are Y at (0.000, 0.000, 0.000), Y at (0.148, 0.500, 0.507), Br at (0.067, 0.500, 0.806), Br at (0.232, 0.000, 0.337), Br at (0.306, 0.000, 0.842) and Br at (0.465, 0.500, 0.331).

As for the crystal system: monoclinic. The electronic total energy is -5.1789 eV per atom. The energy relative to the elements, uncorrected comes out at -1658 meV/atom.

Entry 11:
## SbTeMoPt2 (GGA-PBEsol)

Data for a geometry-optimized SbTeMoPt2 structure.

It has space group P4/mmm (No. 123), with a = 4.821 Å, b = 4.821 Å, c = 5.667 Å, α = 90.00°, β = 90.00° and γ = 90.00°. The inequivalent atoms are Sb at (0.000, 0.000, 0.000), Te at (0.000, 0.000, 0.500), Mo at (0.500, 0.500, 0.000) and Pt at (0.000, 0.500, 0.500).

As for the crystal system: tetragonal. The electronic total energy is -5.2139 eV per atom. The energy relative to the elements, uncorrected comes out at 1542 meV/atom.

Entry 12:
## AlP2 (GGA-PBEsol)

Data for a geometry-optimized AlP2 structure.

It has space group Fd-3m (No. 227, origin choice 2), with a = 7.151 Å, b = 7.151 Å, c = 7.151 Å, α = 90.00°, β = 90.00° and γ = 90.00°. The inequivalent atoms are Al at (0.125, 0.125, 0.125) and P at (0.000, 0.000, 0.500).

As for the crystal system: cubic. The electronic total energy is -4.7903 eV per atom. Its formation energy is 0.434 eV per atom.

The total magnetic moment results, record by record, are as follows: 8.7 0.0 0.0 0.0 0.0 7.3 0.0 0.0 0.0 0.0 3.5 0.0 μB per formula unit.